MnCrCu2 | PBE | relaxed

Total moment: 0.15 μB per cell
DOS(E_F): 2.14 states/eV/f.u.
E_form: 0.1111 eV per atom

The structure in CIF format:
```
data_MnCrCu2
_chemical_formula_sum 'Mn2 Cr2 Cu4'
_cell_length_a 3.5357
_cell_length_b 3.5357
_cell_length_c 7.9904
_cell_angle_alpha 90.00
_cell_angle_beta 90.00
_cell_angle_gamma 90.00
_space_group_name_H-M_alt 'I 4/m m m'
_space_group_IT_number 139
_space_group_name_Hall '-I 4 2'
loop_
_atom_site_label
_atom_site_type_symbol
_atom_site_fract_x
_atom_site_fract_y
_atom_site_fract_z
Mn1 Mn 0.0000 0.0000 0.0000
Cr1 Cr 0.0000 0.0000 0.5000
Cu1 Cu 0.0000 0.5000 0.2500
```

***

LiPm2WN4 | PBE | relaxed

E_form (uncorrected): -88.03 kJ/mol of atoms
Total moment: 0.00 μB per cell
DOS(E_F): 2.61 states/eV/f.u.

The structure in CIF format:
```
data_LiPm2WN4
_chemical_formula_sum 'Li2 Pm4 W2 N8'
_cell_length_a 5.3142
_cell_length_b 5.3142
_cell_length_c 9.6279
_cell_angle_alpha 90.00
_cell_angle_beta 90.00
_cell_angle_gamma 90.00
_space_group_name_H-M_alt 'I -4 2 m'
_space_group_IT_number 121
_space_group_name_Hall 'I -4 2'
loop_
_atom_site_label
_atom_site_type_symbol
_atom_site_fract_x
_atom_site_fract_y
_atom_site_fract_z
Li1 Li 0.0000 0.0000 0.0000
Pm1 Pm 0.0000 0.5000 0.2500
W1 W 0.0000 0.0000 0.5000
N1 N 0.2154 0.2154 0.6055
```

***

PmNdSbAs | PBE | relaxed

E_form (uncorrected): -126.26 kJ/mol of atoms
Total moment: 0.00 μB per cell
DOS(E_F): 0.52 states/eV/f.u.

The structure in CIF format:
```
data_PmNdSbAs
_chemical_formula_sum 'Pm1 Nd1 Sb1 As1'
_cell_length_a 4.3864
_cell_length_b 4.3864
_cell_length_c 6.2151
_cell_angle_alpha 90.00
_cell_angle_beta 90.00
_cell_angle_gamma 90.00
_space_group_name_H-M_alt 'P 4/m m m'
_space_group_IT_number 123
_space_group_name_Hall '-P 4 2'
loop_
_atom_site_label
_atom_site_type_symbol
_atom_site_fract_x
_atom_site_fract_y
_atom_site_fract_z
Pm1 Pm 0.0000 0.0000 0.0000
Nd1 Nd 0.5000 0.5000 0.5000
Sb1 Sb 0.5000 0.5000 0.0000
As1 As 0.0000 0.0000 0.5000
```

***

BaIn2Mo | PBE | relaxed

Total moment: 1.06 μB per cell
Excess energy over the best structure of this formula in the dataset: 406 meV/atom
DOS(E_F): 4.05 states/eV/f.u.
E_form: 0.6406 eV per atom

The structure in CIF format:
```
data_BaIn2Mo
_chemical_formula_sum 'Ba2 In4 Mo2'
_cell_length_a 6.8566
_cell_length_b 9.2499
_cell_length_c 3.2089
_cell_angle_alpha 90.00
_cell_angle_beta 90.33
_cell_angle_gamma 90.00
_space_group_name_H-M_alt 'C 1 2/m 1'
_space_group_IT_number 12
loop_
_space_group_symop_operation_xyz
'x,y,z'
'-x,-y,-z'
'-x,y,-z'
'x,-y,z'
'x+1/2,y+1/2,z'
'-x+1/2,-y+1/2,-z'
'-x+1/2,y+1/2,-z'
'x+1/2,-y+1/2,z'
loop_
_atom_site_label
_atom_site_type_symbol
_atom_site_fract_x
_atom_site_fract_y
_atom_site_fract_z
Ba1 Ba 0.0000 0.0000 0.0000
In1 In 0.2500 0.2500 0.5000
Mo1 Mo 0.0000 0.5000 0.0000
```

***

Nd4SiTeS2 | PBE | relaxed

E_form (uncorrected): -150.02 kJ/mol of atoms
Total moment: 0.00 μB per cell
DOS(E_F): 2.96 states/eV/f.u.

The structure in CIF format:
```
data_Nd4SiTeS2
_chemical_formula_sum 'Nd4 Si1 Te1 S2'
_cell_length_a 7.2622
_cell_length_b 4.2228
_cell_length_c 7.4734
_cell_angle_alpha 90.00
_cell_angle_beta 109.30
_cell_angle_gamma 90.00
_space_group_name_H-M_alt 'P 1 2/m 1'
_space_group_IT_number 10
loop_
_space_group_symop_operation_xyz
'x,y,z'
'-x,-y,-z'
'-x,y,-z'
'x,-y,z'
loop_
_atom_site_label
_atom_site_type_symbol
_atom_site_fract_x
_atom_site_fract_y
_atom_site_fract_z
Nd1 Nd 0.2319 0.0000 0.2232
Nd2 Nd 0.2442 0.5000 0.7629
Si1 Si 0.5000 0.0000 0.0000
Te1 Te 0.5000 0.5000 0.5000
S1 S 0.0000 0.0000 0.5000
S2 S 0.0000 0.5000 0.0000
```

***

AlCoPt2 | PBE | relaxed

Total moment: 1.39 μB per cell
DOS(E_F): 5.68 states/eV/f.u.
E_form: -0.4141 eV per atom

The structure in CIF format:
```
data_AlCoPt2
_chemical_formula_sum 'Al1 Co1 Pt2'
_cell_length_a 2.8258
_cell_length_b 2.8258
_cell_length_c 6.9776
_cell_angle_alpha 90.00
_cell_angle_beta 90.00
_cell_angle_gamma 90.00
_space_group_name_H-M_alt 'P 4 m m'
_space_group_IT_number 99
loop_
_space_group_symop_operation_xyz
'x,y,z'
'-y,x,z'
'-x,-y,z'
'y,-x,z'
'-x,y,z'
'y,x,z'
'x,-y,z'
'-y,-x,z'
loop_
_atom_site_label
_atom_site_type_symbol
_atom_site_fract_x
_atom_site_fract_y
_atom_site_fract_z
Al1 Al 0.0000 0.0000 0.0000
Co1 Co 0.5000 0.5000 0.2171
Pt1 Pt 0.0000 0.0000 0.4578
Pt2 Pt 0.5000 0.5000 0.7629
```

***

PmSm5Tm2Th | PBE | relaxed

Total moment: 0.00 μB per cell
DOS(E_F): 13.55 states/eV/f.u.
E_form: 0.1632 eV per atom

The structure in CIF format:
```
data_PmSm5Tm2Th
_chemical_formula_sum 'Pm4 Sm20 Tm8 Th4'
_cell_length_a 5.6625
_cell_length_b 20.2882
_cell_length_c 10.5161
_cell_angle_alpha 90.00
_cell_angle_beta 90.00
_cell_angle_gamma 90.00
_space_group_name_H-M_alt 'C m c 21'
_space_group_IT_number 36
loop_
_space_group_symop_operation_xyz
'x,y,z'
'-x,-y,z+1/2'
'-x,y,z'
'x,-y,z+1/2'
'x+1/2,y+1/2,z'
'-x+1/2,-y+1/2,z+1/2'
'-x+1/2,y+1/2,z'
'x+1/2,-y+1/2,z+1/2'
loop_
_atom_site_label
_atom_site_type_symbol
_atom_site_fract_x
_atom_site_fract_y
_atom_site_fract_z
Pm1 Pm 0.0000 0.0894 0.0000
Sm1 Sm 0.0000 0.0229 0.2931
Sm2 Sm 0.0000 0.1117 0.5798
Sm3 Sm 0.0000 0.2057 0.2575
Sm4 Sm 0.0000 0.2230 0.8665
Sm5 Sm 0.0000 0.4844 0.5745
Tm1 Tm 0.0000 0.3845 0.8706
Tm2 Tm 0.0000 0.3873 0.2880
Th1 Th 0.0000 0.3011 0.5660
```

***

CaY2VN4 | PBE | relaxed

E_form (uncorrected): -125.08 kJ/mol of atoms
Total moment: 2.81 μB per cell
DOS(E_F): 3.25 states/eV/f.u.

The structure in CIF format:
```
data_CaY2VN4
_chemical_formula_sum 'Ca4 Y8 V4 N16'
_cell_length_a 3.4040
_cell_length_b 11.7105
_cell_length_c 11.8373
_cell_angle_alpha 90.00
_cell_angle_beta 90.00
_cell_angle_gamma 90.00
_space_group_name_H-M_alt 'C m c m'
_space_group_IT_number 63
_space_group_name_Hall '-C 2c 2'
loop_
_atom_site_label
_atom_site_type_symbol
_atom_site_fract_x
_atom_site_fract_y
_atom_site_fract_z
Ca1 Ca 0.0000 0.0955 0.2500
Y1 Y 0.0000 0.3706 0.0410
V1 V 0.0000 0.1723 0.7500
N1 N 0.0000 0.0000 0.0000
N2 N 0.0000 0.2615 0.6256
N3 N 0.0000 0.4135 0.2500
```

***

AcPmMgRu | PBE | relaxed

Total moment: 0.00 μB per cell
DOS(E_F): 5.53 states/eV/f.u.
E_form: 0.0194 eV per atom

The structure in CIF format:
```
data_AcPmMgRu
_chemical_formula_sum 'Ac4 Pm4 Mg4 Ru4'
_cell_length_a 7.5117
_cell_length_b 7.5117
_cell_length_c 7.5117
_cell_angle_alpha 90.00
_cell_angle_beta 90.00
_cell_angle_gamma 90.00
_space_group_name_H-M_alt 'F -4 3 m'
_space_group_IT_number 216
_space_group_name_Hall 'F -4 2 3'
loop_
_atom_site_label
_atom_site_type_symbol
_atom_site_fract_x
_atom_site_fract_y
_atom_site_fract_z
Ac1 Ac 0.0000 0.0000 0.0000
Pm1 Pm 0.0000 0.0000 0.5000
Mg1 Mg 0.2500 0.2500 0.7500
Ru1 Ru 0.2500 0.2500 0.2500
```

***

Sm2CrGa3Pt4 | PBE | relaxed

Total moment: 3.45 μB per cell
DOS(E_F): 6.31 states/eV/f.u.
E_form: -0.8265 eV per atom

The structure in CIF format:
```
data_Sm2CrGa3Pt4
_chemical_formula_sum 'Sm2 Cr1 Ga3 Pt4'
_cell_length_a 4.1171
_cell_length_b 4.1171
_cell_length_c 11.2038
_cell_angle_alpha 90.00
_cell_angle_beta 90.00
_cell_angle_gamma 90.00
_space_group_name_H-M_alt 'P -4 m 2'
_space_group_IT_number 115
loop_
_space_group_symop_operation_xyz
'x,y,z'
'y,-x,-z'
'-x,-y,z'
'-y,x,-z'
'-x,y,z'
'-y,-x,-z'
'x,-y,z'
'y,x,-z'
loop_
_atom_site_label
_atom_site_type_symbol
_atom_site_fract_x
_atom_site_fract_y
_atom_site_fract_z
Sm1 Sm 0.0000 0.5000 0.2474
Cr1 Cr 0.0000 0.0000 0.5000
Ga1 Ga 0.0000 0.5000 0.8669
Ga2 Ga 0.5000 0.5000 0.5000
Pt1 Pt 0.0000 0.0000 0.0000
Pt2 Pt 0.0000 0.5000 0.6444
Pt3 Pt 0.5000 0.5000 0.0000
```

***

NdLuCoRh | PBE | relaxed

Total moment: 2.00 μB per cell
DOS(E_F): 2.02 states/eV/f.u.
E_form: -0.3558 eV per atom

The structure in CIF format:
```
data_NdLuCoRh
_chemical_formula_sum 'Nd4 Lu4 Co4 Rh4'
_cell_length_a 6.8308
_cell_length_b 6.8308
_cell_length_c 6.8308
_cell_angle_alpha 90.00
_cell_angle_beta 90.00
_cell_angle_gamma 90.00
_space_group_name_H-M_alt 'F -4 3 m'
_space_group_IT_number 216
_space_group_name_Hall 'F -4 2 3'
loop_
_atom_site_label
_atom_site_type_symbol
_atom_site_fract_x
_atom_site_fract_y
_atom_site_fract_z
Nd1 Nd 0.0000 0.0000 0.0000
Lu1 Lu 0.0000 0.0000 0.5000
Co1 Co 0.2500 0.2500 0.2500
Rh1 Rh 0.2500 0.2500 0.7500
```

***

PmNd7Pb4 | PBE | relaxed

Total moment: 0.00 μB per cell
DOS(E_F): 12.27 states/eV/f.u.
E_form: -0.1698 eV per atom

The structure in CIF format:
```
data_PmNd7Pb4
_chemical_formula_sum 'Pm2 Nd14 Pb8'
_cell_length_a 14.3591
_cell_length_b 5.9864
_cell_length_c 11.3370
_cell_angle_alpha 90.00
_cell_angle_beta 124.52
_cell_angle_gamma 90.00
_space_group_name_H-M_alt 'C 1 2/m 1'
_space_group_IT_number 12
loop_
_space_group_symop_operation_xyz
'x,y,z'
'-x,-y,-z'
'-x,y,-z'
'x,-y,z'
'x+1/2,y+1/2,z'
'-x+1/2,-y+1/2,-z'
'-x+1/2,y+1/2,-z'
'x+1/2,-y+1/2,z'
loop_
_atom_site_label
_atom_site_type_symbol
_atom_site_fract_x
_atom_site_fract_y
_atom_site_fract_z
Pm1 Pm 0.0000 0.0000 0.0000
Nd1 Nd 0.0000 0.5000 0.0000
Nd2 Nd 0.0526 0.0000 0.3699
Nd3 Nd 0.1851 0.5000 0.6047
Nd4 Nd 0.2094 0.0000 0.8902
Pb1 Pb 0.0688 0.5000 0.7656
Pb2 Pb 0.2027 0.5000 0.3271
```